Entry 1:
Crystalline La12CeHo5 at its relaxed geometry, computed with PBE-GGA.

For the calculated formation energy, the calculation gives 0.6 eV/f.u. The density of states at the Fermi level comes out at 64.54 states/eV/cell. The value obtained for the electronic total energy is -174.70 eV per cell.

The space group is C2/m (No. 12) and the conventional cell measures 19.1110, 10.9376 and 6.3647 Å, with angles of 90.00, 109.42 and 90.00 degrees. The asymmetric unit holds La at (0.0000, 0.1654, 0.0000), La at (0.0000, 0.3291, 0.5000), La at (0.1646, 0.1665, 0.8309), La at (0.1669, 0.3314, 0.3332), Ce at (0.0000, 0.0000, 0.5000), Ho at (0.0000, 0.5000, 0.0000), Ho at (0.1657, 0.0000, 0.3348) and Ho at (0.1669, 0.5000, 0.8313).

=====

Entry 2:
Crystalline LaCeHo at its relaxed geometry, computed with PBE-GGA.

For the calculated formation energy, the calculation gives 0.7 eV/f.u. The density of states at the Fermi level comes out at 15.29 states/eV/cell. The value obtained for the electronic total energy is -29.50 eV per cell. For the excess energy over the best structure of this formula in the dataset, the calculation gives 172.4 meV per atom.

The space group is Pmma (No. 51) and the conventional cell measures 6.5496, 3.4028 and 8.5279 Å, with angles of 90.00, 90.00 and 90.00 degrees. The asymmetric unit holds La at (0.2500, 0.0000, 0.1577), Ce at (0.2500, 0.5000, 0.8423) and Ho at (0.0000, 0.5000, 0.5000).

=====

Entry 3:
Crystalline La6CeHo at its relaxed geometry, computed with PBE-GGA.

For the calculated formation energy, the calculation gives 0.3 eV/f.u. The density of states at the Fermi level comes out at 16.37 states/eV/cell. The value obtained for the electronic total energy is -39.77 eV per cell.

The space group is P4/mmm (No. 123) and the conventional cell measures 5.1814, 5.1814 and 10.3718 Å, with angles of 90.00, 90.00 and 90.00 degrees. The asymmetric unit holds La at (0.0000, 0.0000, 0.0000), La at (0.0000, 0.0000, 0.5000), La at (0.0000, 0.5000, 0.2459), Ce at (0.5000, 0.5000, 0.0000) and Ho at (0.5000, 0.5000, 0.5000).

=====

Entry 4:
Crystalline La3CeHo4 at its relaxed geometry, computed with PBE-GGA.

For the calculated formation energy, the calculation gives 1.8 eV/f.u. The density of states at the Fermi level comes out at 31.62 states/eV/cell. The value obtained for the electronic total energy is -74.42 eV per cell.

The space group is C2/m (No. 12) and the conventional cell measures 25.7452, 3.4096 and 6.1055 Å, with angles of 90.00, 95.17 and 90.00 degrees. The asymmetric unit holds La at (0.0000, 0.0000, 0.0000), La at (0.1465, 0.0000, 0.2330), Ce at (0.0000, 0.5000, 0.5000), Ho at (0.1063, 0.0000, 0.7159) and Ho at (0.2209, 0.5000, 0.7389).

=====

Entry 5:
Crystalline LaCeHo at its relaxed geometry, computed with PBE-GGA.

For the calculated formation energy, the calculation gives 0.2 eV/f.u. The density of states at the Fermi level comes out at 7.38 states/eV/cell. The value obtained for the electronic total energy is -15.22 eV per cell. For the excess energy over the best structure of this formula in the dataset, the calculation gives 16.2 meV per atom.

The space group is P3m1 (No. 156) and the conventional cell measures 3.5513, 3.5513 and 8.7297 Å, with angles of 90.00, 90.00 and 120.00 degrees. The asymmetric unit holds La at (0.0000, 0.0000, 0.0000), Ce at (0.3333, 0.6667, 0.6740) and Ho at (0.6667, 0.3333, 0.3534).

=====

Entry 6:
Crystalline LaCeHo3 at its relaxed geometry, computed with PBE-GGA.

For the calculated formation energy, the calculation gives 0.7 eV/f.u. The density of states at the Fermi level comes out at 33.66 states/eV/cell. The value obtained for the electronic total energy is -95.43 eV per cell.

The space group is C2/m (No. 12) and the conventional cell measures 5.3029, 11.1223 and 10.8081 Å, with angles of 90.00, 90.05 and 90.00 degrees. The asymmetric unit holds La at (0.0000, 0.1570, 0.0000), Ce at (0.0000, 0.3786, 0.5000), Ho at (0.9998, 0.1516, 0.3157) and Ho at (0.9997, 0.5000, 0.1771).

=====

Entry 7:
Crystalline LaCeHo at its relaxed geometry, computed with PBE-GGA.

For the calculated formation energy, the calculation gives 0.2 eV/f.u. The density of states at the Fermi level comes out at 10.92 states/eV/cell. The value obtained for the electronic total energy is -30.54 eV per cell. For the excess energy over the best structure of this formula in the dataset, the calculation gives 0.0 meV per atom.

The space group is P-1 (No. 2) and the conventional cell measures 3.5867, 6.1908 and 8.8523 Å, with angles of 103.25, 90.03 and 90.02 degrees. The asymmetric unit holds La at (0.2495, 0.4803, 0.1836), Ce at (0.2487, 0.2396, 0.4960) and Ho at (0.2508, 0.0263, 0.8286).

=====

Entry 8:
Crystalline La6CeHo8 at its relaxed geometry, computed with PBE-GGA.

For the calculated formation energy, the calculation gives 1.8 eV/f.u. The density of states at the Fermi level comes out at 81.34 states/eV/cell. The value obtained for the electronic total energy is -210.96 eV per cell.

The space group is R-3 (No. 148, hexagonal axes) and the conventional cell measures 9.0843, 9.0843 and 21.1973 Å, with angles of 90.00, 90.00 and 120.00 degrees. The asymmetric unit holds La at (0.0546, 0.8034, 0.2123), Ce at (0.0000, 0.0000, 0.5000), Ho at (0.0000, 0.0000, 0.0768) and Ho at (0.0808, 0.5057, 0.3050).

=====

Question: Number 1 is which compound?
Answer: La12CeHo5